SbW2Br | PBE | optimized geometry

Structure (POSCAR):
```
SbW2Br
1.0
3.511 0.000 0.000
0.000 3.511 0.000
0.000 0.000 7.037
Sb Br W
1 1 2
Cartesian
1.755 1.755 5.278 Sb
1.755 1.755 1.759 Br
0.000 0.000 6.506 W
0.000 0.000 4.050 W
```

Formation energy from raw total energies (eV per atom): 0.993
E above lowest polymorph (meV per atom): 792
Size of the total moment (μB/cell): 0.00
Density (kg/m³): 10901
Energy (eV/f.u.): -27.7